ZrBeAl2 (PBE, optimized geometry); total DFT energy (no corrections) = -4.82 eV/atom; crystal system = trigonal; total moment = 0.00 μB/f.u.; space-group type = R3m (160)
1.0
1.480 0.854 8.890
-1.480 0.854 8.890
0.000 -1.709 8.890
Zr Be Al
1 1 2
Direct
0.000 0.000 0.000
0.752 0.752 0.752
0.240 0.240 0.240
0.488 0.488 0.488